The following is a DFT calculation (GGA-PBE) of a relaxed structure of SbOsBr2.

Output
E_form (uncorrected)   0.635 eV per atom
Final energy   -4.0399 eV/atom
ΔE to the lowest computed polymorph   0.355 eV/atom
Size of the total moment   0.0 Bohr magnetons per cell
SG   R-3m
Crystal system   trigonal
Volume   30.95 A^3/atom

Cell: 10.888 10.888 10.888 Å, 19.34 19.34 19.34°
Element x y z (fractional)
Sb  0.000  0.000  0.000
Os  0.500  0.500  0.500
Br  0.124  0.124  0.124
Br  0.876  0.876  0.876